The following is a DFT calculation (PBE) of a relaxed Pr6NdIn2 crystal.

Spin magnetization ... 0.00 μB/atom
Relative energy among the computed polymorphs ... 0 meV/atom
Energy ... -40.682 eV/f.u.
ΔH_f (0 K) ... -1.76 eV/f.u.

abc: 13.280 3.911 12.281
angles: 90.00 108.28 90.00
Space group C2/m (No. 12)
Inequivalent atoms, fractional coordinates:
Pr  0.014  0.000  0.338 x4
Pr  0.185  0.500  0.876 x4
Pr  0.192  0.500  0.588 x4
Nd  0.000  0.000  0.000 x2
In  0.143  0.500  0.205 x4